(1)
{
  "formula": "NaV2AsW",
  "functional": "GGA-PBE",
  "state": "relaxed",
  "cell": [[4.7538, 0.0000, 0.0000], [0.0000, 4.7538, 0.0000], [0.0000, 0.0000, 4.7292]],
  "species": ["Na", "V", "V", "As", "W"],
  "fractional_positions": [[0.0000, 0.0000, 0.0000], [0.0000, 0.5000, 0.5000], [0.5000, 0.0000, 0.5000], [0.5000, 0.5000, 0.5000], [0.5000, 0.5000, 0.0000]],
  "total_energy_ev_per_fu": -31.5,
  "formation_energy_mev_per_atom": 1129
}

***

(2)
{
  "formula": "NaVZnAs2",
  "functional": "GGA-PBE",
  "state": "relaxed",
  "cell": [[4.7341, 0.0000, 0.0000], [0.0000, 4.7341, 0.0000], [0.0000, 0.0000, 4.9428]],
  "species": ["Na", "V", "Zn", "As", "As"],
  "fractional_positions": [[0.0000, 0.0000, 0.0000], [0.5000, 0.5000, 0.5000], [0.5000, 0.5000, 0.0000], [0.0000, 0.5000, 0.5000], [0.5000, 0.0000, 0.5000]],
  "total_energy_ev_per_fu": -21.4,
  "formation_energy_mev_per_atom": -70
}

***

(3)
{
  "formula": "NaV2ZnAs",
  "functional": "GGA-PBE",
  "state": "relaxed",
  "cell": [[4.8329, 0.0000, 0.0000], [0.0000, 4.8329, 0.0000], [0.0000, 0.0000, 5.0061]],
  "species": ["Na", "V", "V", "Zn", "As"],
  "fractional_positions": [[0.0000, 0.0000, 0.0000], [0.0000, 0.5000, 0.5000], [0.5000, 0.0000, 0.5000], [0.5000, 0.5000, 0.0000], [0.5000, 0.5000, 0.5000]],
  "total_energy_ev_per_fu": -22.2,
  "formation_energy_mev_per_atom": 658
}

***

(4)
{
  "formula": "NaAsW3",
  "functional": "GGA-PBE",
  "state": "relaxed",
  "cell": [[4.6888, 0.0000, 0.0000], [0.0000, 4.6888, 0.0000], [0.0000, 0.0000, 4.6888]],
  "species": ["Na", "As", "W", "W", "W"],
  "fractional_positions": [[0.0000, 0.0000, 0.0000], [0.5000, 0.5000, 0.5000], [0.0000, 0.5000, 0.5000], [0.5000, 0.0000, 0.5000], [0.5000, 0.5000, 0.0000]],
  "total_energy_ev_per_fu": -36.2,
  "de_polymorph_ev_per_atom": 0.000,
  "formation_energy_mev_per_atom": 1729
}

***

(5)
{
  "formula": "NaAs2W",
  "functional": "GGA-PBE",
  "state": "relaxed",
  "cell": [[3.1563, 0.0000, 0.0000], [0.0000, 3.1563, 0.0000], [0.0000, 0.0000, 7.4804]],
  "species": ["Na", "As", "As", "W"],
  "fractional_positions": [[0.0000, 0.0000, 0.0000], [0.5000, 0.5000, 0.2972], [0.5000, 0.5000, 0.7028], [0.0000, 0.0000, 0.5000]],
  "total_energy_ev_per_fu": -24.1,
  "de_polymorph_ev_per_atom": 0.009,
  "formation_energy_mev_per_atom": -133
}

***

(6)
{
  "formula": "NaAs2W",
  "functional": "GGA-PBE",
  "state": "relaxed",
  "cell": [[6.5336, 0.0000, 0.0000], [0.0000, 6.5336, 0.0000], [0.0000, 0.0000, 6.5336]],
  "species": ["Na", "Na", "Na", "Na", "As", "As", "As", "As", "As", "As", "As", "As", "W", "W", "W", "W"],
  "fractional_positions": [[0.0000, 0.0000, 0.0000], [0.0000, 0.5000, 0.5000], [0.5000, 0.0000, 0.5000], [0.5000, 0.5000, 0.0000], [0.2500, 0.2500, 0.2500], [0.2500, 0.2500, 0.7500], [0.2500, 0.7500, 0.2500], [0.2500, 0.7500, 0.7500], [0.7500, 0.2500, 0.2500], [0.7500, 0.2500, 0.7500], [0.7500, 0.7500, 0.2500], [0.7500, 0.7500, 0.7500], [0.0000, 0.0000, 0.5000], [0.0000, 0.5000, 0.0000], [0.5000, 0.0000, 0.0000], [0.5000, 0.5000, 0.5000]],
  "total_energy_ev_per_fu": -22.3,
  "de_polymorph_ev_per_atom": 0.458,
  "formation_energy_mev_per_atom": 315
}

***

(7)
{
  "formula": "Na3AsW",
  "functional": "GGA-PBE",
  "state": "relaxed",
  "cell": [[5.5092, 0.0000, 0.0000], [0.0000, 5.5092, 0.0000], [0.0000, 0.0000, 5.5092]],
  "species": ["Na", "Na", "Na", "As", "W"],
  "fractional_positions": [[0.0000, 0.0000, 0.5000], [0.0000, 0.5000, 0.0000], [0.5000, 0.0000, 0.0000], [0.0000, 0.0000, 0.0000], [0.5000, 0.5000, 0.5000]],
  "total_energy_ev_per_fu": -15.6,
  "de_polymorph_ev_per_atom": 0.000,
  "formation_energy_mev_per_atom": 1192
}

***

(8)
{
  "formula": "NaAsW3",
  "functional": "GGA-PBE",
  "state": "relaxed",
  "cell": [[4.5758, 0.0000, 0.0000], [0.0000, 4.5758, 0.0000], [0.0000, 0.0000, 4.5758]],
  "species": ["Na", "As", "W", "W", "W"],
  "fractional_positions": [[0.0000, 0.0000, 0.0000], [0.5000, 0.5000, 0.5000], [0.0000, 0.0000, 0.5000], [0.0000, 0.5000, 0.0000], [0.5000, 0.0000, 0.0000]],
  "total_energy_ev_per_fu": -29.2,
  "de_polymorph_ev_per_atom": 1.404,
  "formation_energy_mev_per_atom": 3133
}

***

(9)
{
  "formula": "Na6As4W",
  "functional": "GGA-PBE",
  "state": "relaxed",
  "cell": [[9.4384, 0.0000, 0.0000], [-4.7192, 8.1739, 0.0000], [0.0000, 0.0000, 7.3616]],
  "species": ["Na", "Na", "Na", "Na", "Na", "Na", "Na", "Na", "Na", "Na", "Na", "Na", "As", "As", "As", "As", "As", "As", "As", "As", "W", "W"],
  "fractional_positions": [[0.0623, 0.5311, 0.0000], [0.1492, 0.2983, 0.3220], [0.1492, 0.8508, 0.3220], [0.2983, 0.1492, 0.8220], [0.4689, 0.5311, 0.0000], [0.4689, 0.9377, 0.0000], [0.5311, 0.0623, 0.5000], [0.5311, 0.4689, 0.5000], [0.7017, 0.8508, 0.3220], [0.8508, 0.1492, 0.8220], [0.8508, 0.7017, 0.8220], [0.9377, 0.4689, 0.5000], [0.1925, 0.3850, 0.7175], [0.1925, 0.8075, 0.7175], [0.3333, 0.6667, 0.2850], [0.3850, 0.1925, 0.2175], [0.6150, 0.8075, 0.7175], [0.6667, 0.3333, 0.7850], [0.8075, 0.1925, 0.2175], [0.8075, 0.6150, 0.2175], [0.3333, 0.6667, 0.6141], [0.6667, 0.3333, 0.1141]],
  "total_energy_ev_per_fu": -43.8,
  "formation_energy_mev_per_atom": -394
}

***

(10)
{
  "formula": "NaAsW",
  "functional": "GGA-PBE",
  "state": "relaxed",
  "cell": [[3.9496, 0.0000, 0.0000], [0.0000, 3.9496, 0.0000], [0.0000, 0.0000, 7.6211]],
  "species": ["Na", "Na", "As", "As", "W", "W"],
  "fractional_positions": [[0.2500, 0.2500, 0.1419], [0.7500, 0.7500, 0.8581], [0.2500, 0.2500, 0.7292], [0.7500, 0.7500, 0.2708], [0.2500, 0.7500, 0.5000], [0.7500, 0.2500, 0.5000]],
  "total_energy_ev_per_fu": -19.3,
  "formation_energy_mev_per_atom": -118
}

***

(11)
{
  "formula": "NaAs2W",
  "functional": "GGA-PBE",
  "state": "relaxed",
  "cell": [[6.4699, 0.0000, 0.0000], [0.0000, 6.4699, 0.0000], [0.0000, 0.0000, 11.3061]],
  "species": ["Na", "Na", "Na", "Na", "As", "As", "As", "As", "As", "As", "As", "As", "W", "W", "W", "W"],
  "fractional_positions": [[0.0000, 0.0000, 0.0000], [0.0000, 0.5000, 0.2500], [0.5000, 0.0000, 0.7500], [0.5000, 0.5000, 0.5000], [0.1679, 0.2500, 0.6250], [0.2500, 0.6679, 0.8750], [0.2500, 0.8321, 0.3750], [0.3321, 0.2500, 0.1250], [0.6679, 0.7500, 0.1250], [0.7500, 0.1679, 0.3750], [0.7500, 0.3321, 0.8750], [0.8321, 0.7500, 0.6250], [0.0000, 0.0000, 0.5000], [0.0000, 0.5000, 0.7500], [0.5000, 0.0000, 0.2500], [0.5000, 0.5000, 0.0000]],
  "total_energy_ev_per_fu": -22.7,
  "de_polymorph_ev_per_atom": 0.368,
  "formation_energy_mev_per_atom": 226
}

***

(12)
{
  "formula": "Na3AsW",
  "functional": "GGA-PBE",
  "state": "relaxed",
  "cell": [[5.7176, 0.0000, 0.0000], [0.0000, 5.7176, 0.0000], [0.0000, 0.0000, 5.7176]],
  "species": ["Na", "Na", "Na", "As", "W"],
  "fractional_positions": [[0.0000, 0.0000, 0.5000], [0.0000, 0.5000, 0.0000], [0.5000, 0.0000, 0.0000], [0.5000, 0.5000, 0.5000], [0.0000, 0.0000, 0.0000]],
  "total_energy_ev_per_fu": -13.3,
  "de_polymorph_ev_per_atom": 0.467,
  "formation_energy_mev_per_atom": 1659
}

***

(13)
{
  "formula": "NaAs2W",
  "functional": "GGA-PBE",
  "state": "relaxed",
  "cell": [[3.3613, 0.0000, 0.0000], [-1.6806, 2.9110, 0.0000], [0.0000, 0.0000, 24.3296]],
  "species": ["Na", "Na", "Na", "As", "As", "As", "As", "As", "As", "W", "W", "W"],
  "fractional_positions": [[0.0000, 0.0000, 0.0000], [0.3333, 0.6667, 0.6667], [0.6667, 0.3333, 0.3333], [0.0000, 0.0000, 0.2364], [0.0000, 0.0000, 0.7636], [0.3333, 0.6667, 0.4303], [0.3333, 0.6667, 0.9031], [0.6667, 0.3333, 0.0969], [0.6667, 0.3333, 0.5697], [0.0000, 0.0000, 0.5000], [0.3333, 0.6667, 0.1667], [0.6667, 0.3333, 0.8333]],
  "total_energy_ev_per_fu": -24.1,
  "de_polymorph_ev_per_atom": 0.000,
  "formation_energy_mev_per_atom": -142
}